Entry from Alexandria: a relaxed BaMg2ZrOs crystal (GGA-PBE).

```
BaMg2ZrOs
1.0
5.323 0.000 0.000
0.000 5.323 0.000
0.000 0.000 5.298
Ba Mg Zr Os
1 2 1 1
Direct
0.000 0.000 0.000
0.000 0.500 0.000
0.500 0.000 0.000
0.000 0.000 0.500
0.500 0.500 0.500
```

## Properties
Space-group type: No. 123

Entry from Alexandria: a relaxed BaMg2P2 crystal (GGA-PBE).

```
BaMg2P2
1.0
7.979 0.000 0.000
0.000 7.979 0.000
0.000 0.000 3.431
Ba Mg P
2 4 4
Direct
0.000 0.000 0.000
0.500 0.500 0.000
0.122 0.378 0.000
0.378 0.878 0.000
0.622 0.122 0.000
0.878 0.622 0.000
0.170 0.670 0.500
0.330 0.170 0.500
0.670 0.830 0.500
0.830 0.330 0.500
```

## Properties
Space-group type: No. 127

Entry from Alexandria: a relaxed Ba4MgP crystal (GGA-PBE).

```
Ba4MgP
1.0
0.000 5.079 5.079
5.079 0.000 5.079
5.079 5.079 0.000
Ba Mg P
4 1 1
Direct
0.376 0.376 0.376
0.376 0.376 0.871
0.376 0.871 0.376
0.871 0.376 0.376
0.000 0.000 0.000
0.750 0.750 0.750
```

## Properties
Space-group type: No. 216

Entry from Alexandria: a relaxed BaMg2P2 crystal (GGA-PBE).

```
BaMg2P2
1.0
4.389 0.000 0.000
-2.195 3.801 0.000
0.000 0.000 7.619
Ba Mg P
1 2 2
Direct
0.000 0.000 0.000
0.333 0.667 0.623
0.667 0.333 0.377
0.333 0.667 0.277
0.667 0.333 0.723
```

## Properties
Space-group type: No. 164

Entry from Alexandria: a relaxed Ba2MgP crystal (GGA-PBE).

```
Ba2MgP
1.0
8.141 0.000 0.000
0.000 8.141 0.000
0.000 0.000 8.141
Ba Mg P
8 4 4
Direct
0.250 0.250 0.250
0.250 0.250 0.750
0.250 0.750 0.250
0.250 0.750 0.750
0.750 0.250 0.250
0.750 0.250 0.750
0.750 0.750 0.250
0.750 0.750 0.750
0.000 0.000 0.000
0.000 0.500 0.500
0.500 0.000 0.500
0.500 0.500 0.000
0.000 0.000 0.500
0.000 0.500 0.000
0.500 0.000 0.000
0.500 0.500 0.500
```

## Properties
Space-group type: No. 225
Excess energy over the best structure of this formula in the dataset: 82.4 kJ/mol of formula units

Entry from Alexandria: a relaxed BaMg2P crystal (GGA-PBE).

```
BaMg2P
1.0
4.218 0.000 0.000
-2.109 3.653 0.000
0.000 0.000 23.825
Ba Mg P
3 6 3
Direct
0.000 0.000 0.000
0.333 0.667 0.667
0.667 0.333 0.333
0.000 0.000 0.213
0.000 0.000 0.787
0.333 0.667 0.454
0.333 0.667 0.880
0.667 0.333 0.120
0.667 0.333 0.546
0.000 0.000 0.500
0.333 0.667 0.167
0.667 0.333 0.833
```

## Properties
Space-group type: No. 166

Entry from Alexandria: a relaxed BaMg2P crystal (GGA-PBE).

```
BaMg2P
1.0
3.638 0.000 0.000
0.000 5.553 0.000
0.000 0.000 11.131
Ba Mg P
2 4 2
Direct
0.000 0.000 0.000
0.500 0.500 0.500
0.000 0.500 0.184
0.000 0.500 0.816
0.500 0.000 0.316
0.500 0.000 0.684
0.000 0.000 0.500
0.500 0.500 0.000
```

## Properties
Space-group type: No. 71

Entry from Alexandria: a relaxed Ba2MgP crystal (GGA-PBE).

```
Ba2MgP
1.0
4.100 0.000 0.000
0.000 4.100 0.000
0.000 0.000 8.355
Ba Mg P
2 1 1
Direct
0.000 0.000 0.201
0.000 0.000 0.799
0.500 0.500 0.500
0.500 0.500 0.000
```

## Properties
Space-group type: No. 123
Excess energy over the best structure of this formula in the dataset: 14.9 kJ/mol of formula units

Entry from Alexandria: a relaxed BaMg2P2 crystal (GGA-PBE).

```
BaMg2P2
1.0
8.184 0.000 0.000
0.000 8.184 0.000
0.000 0.000 3.485
Ba Mg P
2 4 4
Direct
0.000 0.000 0.000
0.500 0.500 0.000
0.127 0.373 0.500
0.373 0.873 0.500
0.627 0.127 0.500
0.873 0.627 0.500
0.153 0.653 0.000
0.347 0.153 0.000
0.653 0.847 0.000
0.847 0.347 0.000
```

## Properties
Space-group type: No. 127

Entry from Alexandria: a relaxed BaMg2P crystal (GGA-PBE).

```
BaMg2P
1.0
4.206 0.000 0.000
0.000 4.206 0.000
0.000 0.000 6.563
Ba Mg P
1 2 1
Direct
0.000 0.000 0.000
0.000 0.500 0.516
0.500 0.000 0.516
0.500 0.500 0.772
```

## Properties
Space-group type: No. 99

Entry from Alexandria: a relaxed Ba2MgP crystal (GGA-PBE).

```
Ba2MgP
1.0
3.912 0.000 0.000
0.000 3.912 0.000
0.000 0.000 9.530
Ba Mg P
2 1 1
Direct
0.000 0.000 0.000
0.500 0.500 0.433
0.000 0.000 0.677
0.500 0.500 0.795
```

## Properties
Space-group type: No. 99
Excess energy over the best structure of this formula in the dataset: 110.3 kJ/mol of formula units

Entry from Alexandria: a relaxed BaMg2P crystal (GGA-PBE).

```
BaMg2P
1.0
4.374 0.000 0.000
-2.187 3.788 0.000
0.000 0.000 21.403
Ba Mg P
3 6 3
Direct
0.000 0.000 0.000
0.333 0.667 0.667
0.667 0.333 0.333
0.000 0.000 0.535
0.000 0.000 0.789
0.333 0.667 0.201
0.333 0.667 0.456
0.667 0.333 0.122
0.667 0.333 0.868
0.000 0.000 0.233
0.333 0.667 0.900
0.667 0.333 0.566
```

## Properties
Space-group type: No. 160

Entry from Alexandria: a relaxed BaMg2P crystal (GGA-PBE).

```
BaMg2P
1.0
5.362 0.000 0.000
0.000 5.362 0.000
0.000 0.000 7.603
Ba Mg P
2 4 2
Direct
0.000 0.000 0.000
0.500 0.500 0.500
0.000 0.000 0.500
0.000 0.500 0.750
0.500 0.000 0.250
0.500 0.500 0.000
0.000 0.500 0.250
0.500 0.000 0.750
```

## Properties
Space-group type: No. 119

Entry from Alexandria: a relaxed Ba2MgP crystal (GGA-PBE).

```
Ba2MgP
1.0
4.826 0.000 0.000
0.000 4.826 0.000
0.000 0.000 11.480
Ba Mg P
4 2 2
Direct
0.000 0.000 0.000
0.000 0.500 0.250
0.500 0.000 0.750
0.500 0.500 0.500
0.000 0.500 0.750
0.500 0.000 0.250
0.000 0.000 0.500
0.500 0.500 0.000
```

## Properties
Space-group type: No. 119
Excess energy over the best structure of this formula in the dataset: 114.0 kJ/mol of formula units

Entry from Alexandria: a relaxed Ba2MgP crystal (GGA-PBE).

```
Ba2MgP
1.0
9.161 0.000 0.000
0.000 9.161 0.000
0.000 0.000 8.145
Ba Mg P
8 4 4
Direct
0.190 0.250 0.125
0.250 0.690 0.375
0.250 0.810 0.875
0.310 0.250 0.625
0.690 0.750 0.625
0.750 0.190 0.875
0.750 0.310 0.375
0.810 0.750 0.125
0.000 0.000 0.500
0.000 0.500 0.750
0.500 0.000 0.250
0.500 0.500 0.000
0.000 0.000 0.000
0.000 0.500 0.250
0.500 0.000 0.750
0.500 0.500 0.500
```

## Properties
Space-group type: No. 122
Excess energy over the best structure of this formula in the dataset: 98.6 kJ/mol of formula units

Entry from Alexandria: a relaxed Ba2MgP crystal (GGA-PBE).

```
Ba2MgP
1.0
4.640 0.000 0.000
-2.320 4.018 0.000
0.000 0.000 27.908
Ba Mg P
6 3 3
Direct
0.000 0.000 0.228
0.000 0.000 0.772
0.333 0.667 0.438
0.333 0.667 0.895
0.667 0.333 0.105
0.667 0.333 0.562
0.000 0.000 0.000
0.333 0.667 0.667
0.667 0.333 0.333
0.000 0.000 0.500
0.333 0.667 0.167
0.667 0.333 0.833
```

## Properties
Space-group type: No. 166
Excess energy over the best structure of this formula in the dataset: 22.2 kJ/mol of formula units

Entry from Alexandria: a relaxed Ba2MgP crystal (GGA-PBE).

```
Ba2MgP
1.0
8.043 0.000 0.000
0.000 8.043 0.000
0.000 0.000 8.043
Ba Mg P
8 4 4
Direct
0.000 0.000 0.000
0.000 0.500 0.500
0.250 0.250 0.250
0.250 0.750 0.750
0.500 0.000 0.500
0.500 0.500 0.000
0.750 0.250 0.750
0.750 0.750 0.250
0.250 0.250 0.750
0.250 0.750 0.250
0.750 0.250 0.250
0.750 0.750 0.750
0.000 0.000 0.500
0.000 0.500 0.000
0.500 0.000 0.000
0.500 0.500 0.500
```

## Properties
Space-group type: No. 216
Excess energy over the best structure of this formula in the dataset: 226.5 kJ/mol of formula units

Entry from Alexandria: a relaxed BaMg2P crystal (GGA-PBE).

```
BaMg2P
1.0
6.248 0.000 0.000
0.000 9.369 0.000
0.000 0.000 4.254
Ba Mg P
2 4 2
Direct
0.000 0.000 0.000
0.500 0.500 0.000
0.000 0.335 0.500
0.000 0.665 0.500
0.500 0.165 0.500
0.500 0.835 0.500
0.000 0.500 0.000
0.500 0.000 0.000
```

## Properties
Space-group type: No. 65

Entry from Alexandria: a relaxed Ba2MgP crystal (GGA-PBE).

```
Ba2MgP
1.0
4.751 0.000 0.000
0.000 4.751 0.000
0.000 0.000 6.816
Ba Mg P
2 1 1
Direct
0.000 0.000 0.000
0.500 0.500 0.411
0.000 0.000 0.531
0.500 0.500 0.894
```

## Properties
Space-group type: No. 99
Excess energy over the best structure of this formula in the dataset: 137.5 kJ/mol of formula units

Entry from Alexandria: a relaxed BaMgP3 crystal (GGA-PBE).

```
BaMgP3
1.0
4.965 0.000 0.000
0.000 4.965 0.000
0.000 0.000 4.965
Ba Mg P
1 1 3
Direct
0.000 0.000 0.000
0.500 0.500 0.500
0.000 0.500 0.500
0.500 0.000 0.500
0.500 0.500 0.000
```

## Properties
Space-group type: No. 221
Excess energy over the best structure of this formula in the dataset: 0.0 kJ/mol of formula units

Entry from Alexandria: a relaxed BaMg2P crystal (GGA-PBE).

```
BaMg2P
1.0
4.567 0.000 0.000
0.000 4.567 0.000
0.000 0.000 5.341
Ba Mg P
1 2 1
Direct
0.000 0.000 0.000
0.000 0.500 0.500
0.500 0.000 0.500
0.500 0.500 0.000
```

## Properties
Space-group type: No. 123

Entry from Alexandria: a relaxed BaMg2P crystal (GGA-PBE).

```
BaMg2P
1.0
6.381 0.000 0.000
0.000 12.330 0.000
-1.858 0.000 2.920
Ba Mg P
2 4 2
Direct
0.000 0.000 0.000
0.500 0.500 0.000
0.250 0.250 0.500
0.250 0.750 0.500
0.750 0.250 0.500
0.750 0.750 0.500
0.000 0.500 0.000
0.500 0.000 0.000
```

## Properties
Space-group type: No. 12

Entry from Alexandria: a relaxed Ba2MgP crystal (GGA-PBE).

```
Ba2MgP
1.0
4.428 0.000 0.000
0.000 4.943 0.000
0.000 0.000 12.890
Ba Mg P
4 2 2
Direct
0.000 0.000 0.000
0.000 0.500 0.500
0.500 0.000 0.290
0.500 0.500 0.790
0.000 0.000 0.690
0.000 0.500 0.190
0.500 0.000 0.568
0.500 0.500 0.068
```

## Properties
Space-group type: No. 38
Excess energy over the best structure of this formula in the dataset: 0.0 kJ/mol of formula units

Entry from Alexandria: a relaxed BaMg2P4 crystal (GGA-PBE).

```
BaMg2P4
1.0
5.279 0.000 0.000
0.000 5.279 0.000
0.000 0.000 14.635
Ba Mg P
2 4 8
Direct
0.000 0.000 0.000
0.500 0.500 0.500
0.000 0.000 0.399
0.000 0.000 0.601
0.500 0.500 0.101
0.500 0.500 0.899
0.000 0.000 0.230
0.000 0.000 0.770
0.000 0.500 0.000
0.000 0.500 0.500
0.500 0.000 0.000
0.500 0.000 0.500
0.500 0.500 0.270
0.500 0.500 0.730
```

## Properties
Space-group type: No. 139

Entry from Alexandria: a relaxed BaMgP4 crystal (GGA-PBE).

```
BaMgP4
1.0
0.000 4.049 4.049
4.049 0.000 4.049
4.049 4.049 0.000
Ba Mg P
1 1 4
Direct
0.000 0.000 0.000
0.750 0.750 0.750
0.397 0.397 0.397
0.397 0.397 0.809
0.397 0.809 0.397
0.809 0.397 0.397
```

## Properties
Space-group type: No. 216

Entry from Alexandria: a relaxed Ba2MgP2 crystal (GGA-PBE).

```
Ba2MgP2
1.0
8.158 0.000 0.000
0.000 8.158 0.000
0.000 0.000 4.499
Ba Mg P
4 2 4
Direct
0.142 0.358 0.000
0.358 0.858 0.000
0.642 0.142 0.000
0.858 0.642 0.000
0.000 0.000 0.500
0.500 0.500 0.500
0.171 0.671 0.500
0.329 0.171 0.500
0.671 0.829 0.500
0.829 0.329 0.500
```

## Properties
Space-group type: No. 127

Entry from Alexandria: a relaxed Ba2MgP crystal (GGA-PBE).

```
Ba2MgP
1.0
5.061 0.000 0.000
0.000 6.023 0.000
0.000 0.000 9.679
Ba Mg P
4 2 2
Direct
0.000 0.000 0.000
0.000 0.500 0.426
0.500 0.000 0.426
0.500 0.500 0.000
0.000 0.500 0.750
0.500 0.000 0.750
0.000 0.000 0.631
0.500 0.500 0.631
```

## Properties
Space-group type: No. 35
Excess energy over the best structure of this formula in the dataset: 108.8 kJ/mol of formula units

Entry from Alexandria: a relaxed BaMg2P crystal (GGA-PBE).

```
BaMg2P
1.0
6.190 0.000 0.000
0.000 11.033 0.000
0.000 0.000 3.396
Ba Mg P
2 4 2
Direct
0.000 0.000 0.000
0.500 0.500 0.000
0.250 0.250 0.500
0.250 0.750 0.500
0.750 0.250 0.500
0.750 0.750 0.500
0.000 0.500 0.000
0.500 0.000 0.000
```

## Properties
Space-group type: No. 65

Entry from Alexandria: a relaxed BaMg2P crystal (GGA-PBE).

```
BaMg2P
1.0
8.716 0.000 0.000
0.000 8.716 0.000
0.000 0.000 6.399
Ba Mg P
4 8 4
Direct
0.000 0.000 0.000
0.000 0.500 0.250
0.500 0.000 0.750
0.500 0.500 0.500
0.155 0.250 0.625
0.250 0.655 0.875
0.250 0.845 0.375
0.345 0.250 0.125
0.655 0.750 0.125
0.750 0.155 0.375
0.750 0.345 0.875
0.845 0.750 0.625
0.000 0.000 0.500
0.000 0.500 0.750
0.500 0.000 0.250
0.500 0.500 0.000
```

## Properties
Space-group type: No. 122

no.,magnetic moment (μB/cell),E_tot (eV/cell)
1,2.4,-12.631
2,0.0,-35.542
3,1.5,-11.833
4,0.0,-20.604
5,0.0,-48.595
6,0.0,-34.639
7,0.0,-23.318
8,0.0,-12.849
9,0.0,-35.143
10,0.0,-12.448
11,0.8,-11.860
12,0.0,-35.885
13,0.0,-21.816
14,0.8,-23.644
15,3.7,-47.924
16,0.0,-38.319
17,0.0,-42.624
18,0.0,-24.105
19,0.0,-11.578
20,0.0,-19.867
21,0.0,-11.235
22,0.0,-21.209
23,1.6,-26.007
24,0.0,-44.529
25,0.0,-25.439
26,0.0,-38.932
27,1.7,-23.752
28,0.0,-19.505
29,0.0,-46.404